(1)
A relaxed structure of CdInP2. Source: the Alexandria database, functional PBE.

abc: 3.6976 3.7053 6.6926
angles: 90.00 90.00 90.00
Closest atoms and distances in Å follow each position.
Element x y z (fractional)
Cd 0.5000 0.5000 0.2500  8 P 2.84
In 0.5000 0.5000 0.7500  2 Cd 3.35, 8 P 3.45, 4 In 3.70-3.71
P 0.0000 0.0000 0.0847  1 P 2.21
P 0.0000 0.0000 0.4153  1 P 2.21

## Properties
Formation energy in eV per formula unit: 1.154
Crystal system: tetragonal
Total DFT energy (no corrections) in eV per cell: -13.3
Symmetry: P4/mmm (123)

---

(2)
A relaxed structure of MgO. Source: the Alexandria database, functional PBE.

abc: 5.6388 5.6388 5.6388
angles: 90.00 90.00 90.00
Closest atoms and distances in Å follow each position.
Element x y z (fractional)
Mg 0.2500 0.0000 0.5000  4 O 1.99
Mg 0.7500 0.0000 0.5000  4 O 1.99
Mg 0.0000 0.5000 0.2500  4 O 1.99
Mg 0.0000 0.5000 0.7500  4 O 1.99
Mg 0.5000 0.2500 0.0000  4 O 1.99
Mg 0.5000 0.7500 0.0000  4 O 1.99
O 0.2500 0.5000 0.0000  4 Mg 1.99
O 0.7500 0.5000 0.0000  4 Mg 1.99
O 0.5000 0.0000 0.2500  4 Mg 1.99
O 0.5000 0.0000 0.7500  4 Mg 1.99
O 0.0000 0.2500 0.5000  4 Mg 1.99
O 0.0000 0.7500 0.5000  4 Mg 1.99

## Properties
E_form (uncorrected) in eV per atom: -2.57
Crystal system: cubic
Total DFT energy (no corrections) in eV per cell: -70.2
Symmetry: Pm-3n (223)

---

(3)
A relaxed structure of TiPdPt4. Source: the Alexandria database, functional PBE.

abc: 3.9046 3.9751 6.2657
angles: 90.00 108.15 90.00
Closest atoms and distances in Å follow each position.
Element x y z (fractional)
Ti 0.5000 0.5000 0.0000  8 Pt 2.72-2.79, 4 Pd 2.79
Pd 0.0000 0.0000 0.0000  8 Pt 2.74-2.77, 4 Ti 2.79
Pt 0.3353 0.0000 0.6707  2 Pd 2.77, 8 Pt 2.79-2.89, 2 Ti 2.79
Pt 0.6647 0.0000 0.3293  2 Pd 2.77, 8 Pt 2.79-2.89, 2 Ti 2.79
Pt 0.8413 0.5000 0.6826  2 Ti 2.72, 2 Pd 2.74, 8 Pt 2.79-2.92
Pt 0.1587 0.5000 0.3174  2 Ti 2.72, 2 Pd 2.74, 8 Pt 2.79-2.92

## Properties
Energy above the most stable polymorph in this dataset in meV/atom: 0
Formation energy in eV per formula unit: -3.576
Crystal system: orthorhombic
Total DFT energy (no corrections) in eV per cell: -40.8
Symmetry: Cmmm (65)